{"formula": "LaIrRuPt2", "functional": "PBE", "state": "optimized geometry", "lattice_angstrom": [[4.904, 0.000, 0.000], [0.000, 4.904, 0.000], [0.000, 0.000, 4.695]], "species": ["La", "Ir", "Ru", "Pt", "Pt"], "frac_coords": [[0.000, 0.000, 0.000], [0.500, 0.500, 0.000], [0.500, 0.500, 0.500], [0.000, 0.500, 0.500], [0.500, 0.000, 0.500]], "m_tot_mub_per_atom": 0.108, "spacegroup": "No. 123", "formation_energy_kj_per_mol_fu": 132, "energy_ry_per_atom": -0.4966}